--- i ---
Below is crystalline Zr5Cd at its relaxed geometry, with properties calculated at the PBE-GGA level.

Geometry as POSCAR:
```
Zr5Cd
1.0
3.168 0.000 0.000
0.000 3.168 0.000
0.000 0.000 13.650
Cd Zr
1 5
direct
0.500 0.500 0.833
0.000 0.000 0.000
0.500 0.500 0.500
0.000 0.000 0.667
0.500 0.500 0.167
0.000 0.000 0.333
```

Properties
Crystal system: tetragonal
Volume in A^3/atom: 22.8

--- ii ---
Below is crystalline Zr5Cd at its relaxed geometry, with properties calculated at the PBE-GGA level.

Geometry as POSCAR:
```
Zr5Cd
1.0
0.000 4.128 4.128
4.128 0.000 4.128
4.128 4.128 0.000
Zr Cd
5 1
direct
0.377 0.377 0.377
0.377 0.868 0.377
0.750 0.750 0.750
0.377 0.377 0.868
0.868 0.377 0.377
0.000 0.000 0.000
```

Properties
Crystal system: cubic
Volume in A^3/atom: 23.5

Most stable of them? i.

--- i ---
Below is crystalline Zr5Cd at its relaxed geometry, with properties calculated at the PBE-GGA level.

Geometry as POSCAR:
```
Zr5Cd
1.0
-2.738 2.105 -6.284
2.284 -5.723 3.668
-4.114 -0.628 1.583
Zr Cd
5 1
direct
0.305 0.695 0.000
0.639 0.361 0.000
0.137 0.863 0.500
0.807 0.193 0.500
0.472 0.528 0.500
0.972 0.028 0.000
```

Properties
Crystal system: orthorhombic
Volume in A^3/atom: 22.7

--- ii ---
Below is crystalline Zr5Cd at its relaxed geometry, with properties calculated at the PBE-GGA level.

Geometry as POSCAR:
```
Zr5Cd
1.0
8.357 0.019 0.000
-7.758 3.107 0.000
0.000 0.000 5.277
Zr Cd
5 1
direct
0.670 0.330 0.000
0.338 0.662 0.000
0.886 0.114 0.500
0.553 0.447 0.500
0.221 0.779 0.500
0.000 0.000 0.000
```

Properties
Crystal system: orthorhombic
Volume in A^3/atom: 23.0

--- iii ---
Below is crystalline Zr5Cd at its relaxed geometry, with properties calculated at the PBE-GGA level.

Geometry as POSCAR:
```
Zr5Cd
1.0
-3.912 2.213 4.118
-1.948 0.346 5.765
9.355 3.611 -7.056
Cd Zr
1 5
direct
0.998 0.998 0.004
0.660 0.660 0.326
0.768 0.768 0.054
0.113 0.113 0.720
0.344 0.344 0.670
0.452 0.452 0.393
```

Properties
Crystal system: monoclinic
Volume in A^3/atom: 22.9

--- iv ---
Below is crystalline Zr5Cd at its relaxed geometry, with properties calculated at the PBE-GGA level.

Geometry as POSCAR:
```
Zr5Cd
1.0
-1.551 2.964 -4.958
-3.609 -4.227 2.210
-2.256 3.339 2.702
Zr Cd
5 1
direct
0.333 0.667 0.000
0.500 0.000 0.500
0.667 0.333 0.000
0.000 0.500 0.500
0.500 0.500 0.500
0.000 0.000 0.000
```

Properties
Crystal system: hexagonal
Volume in A^3/atom: 25.1

Most stable of them? i.